[1]
The following is a GGA-PBE calculation of a relaxed structure of Li8Mg4Cd3, from Alexandria via LeMat-Bulk.

Lattice parameters (Å, degrees): 6.0744 10.7354 5.9390 82.16 76.45 54.98
Last column: nearest neighbours and their distance in Å.
Fractional positions:
Mg  0.0000  0.5000  0.0000  8 Li 2.88-3.12, 2 Cd 3.04
Mg  0.0000  0.0000  0.5000  4 Li 2.89, 2 Mg 2.97, 2 Cd 3.04
Mg  0.5000  0.0000  0.0000  4 Li 2.92-2.94, 2 Cd 2.97, 2 Mg 3.04
Mg  0.0000  0.0000  0.0000  4 Mg 2.97-3.04, 8 Li 3.05-3.22
Li  0.4425  0.2758  0.2921  3 Cd 2.90-3.07, 5 Li 2.97-3.18, 2 Mg 3.11-3.22
Li  0.5575  0.7242  0.7079  3 Cd 2.90-3.07, 5 Li 2.97-3.18, 2 Mg 3.11-3.22
Li  0.4731  0.7468  0.2266  2 Cd 2.85-3.04, 4 Mg 2.88-3.05, 4 Li 2.97-3.14
Li  0.9928  0.7252  0.2888  3 Cd 2.89-3.06, 5 Li 2.99-3.18, 2 Mg 3.12-3.22
Li  0.9681  0.2526  0.2273  2 Cd 2.85-3.02, 4 Mg 2.89-3.08, 4 Li 2.99-3.14
Li  0.0072  0.2748  0.7112  3 Cd 2.89-3.06, 5 Li 2.99-3.18, 2 Mg 3.12-3.22
Li  0.0319  0.7474  0.7727  2 Cd 2.85-3.02, 4 Mg 2.89-3.08, 4 Li 2.99-3.14
Li  0.5269  0.2532  0.7734  2 Cd 2.85-3.04, 4 Mg 2.88-3.05, 4 Li 2.97-3.14
Cd  0.5000  0.5000  0.0000  8 Li 2.90-3.04, 2 Cd 2.97, 2 Mg 3.04
Cd  0.5000  0.0000  0.5000  4 Li 2.89-2.90, 4 Mg 2.97-3.04
Cd  0.5000  0.5000  0.5000  8 Li 2.85-3.07, 2 Cd 2.97

## Properties
Size of the total moment (μB per atom): 0.000
Total DFT energy (no corrections) (eV/atom): -1.715
Formation energy from the elements (eV/atom): -0.086

[2]
The following is a GGA-PBE calculation of a relaxed structure of Li6Mg3Cd, from Alexandria via LeMat-Bulk.

Lattice parameters (Å, degrees): 4.8650 8.1633 10.3459 107.90 90.00 90.00
Last column: nearest neighbours and their distance in Å.
Fractional positions:
Mg  0.2500  0.3431  0.8001  8 Li 2.95-3.02, 1 Cd 3.22
Mg  0.7500  0.4433  0.5927  8 Li 2.93-3.05, 1 Cd 3.24
Mg  0.7500  0.2572  0.9903  9 Li 2.92-3.27
Mg  0.7500  0.6569  0.1999  8 Li 2.95-3.02, 1 Cd 3.22
Mg  0.2500  0.5567  0.4073  8 Li 2.93-3.05, 1 Cd 3.24
Mg  0.2500  0.7428  0.0097  9 Li 2.92-3.27
Li  0.2500  0.0409  0.8999  4 Li 2.89-3.16, 1 Cd 2.89, 4 Mg 2.95-2.99
Li  0.2500  0.8622  0.3148  3 Cd 2.86-2.89, 2 Li 2.88-3.04, 4 Mg 2.93-3.00
Li  0.2500  0.4419  0.1067  1 Li 2.89, 7 Mg 2.92-3.02
Li  0.7500  0.3430  0.2952  1 Cd 2.87, 3 Li 2.92-3.16, 5 Mg 2.93-3.02
Li  0.2500  0.1439  0.2024  8 Li 2.88-2.98
Li  0.7500  0.8561  0.7976  8 Li 2.88-2.98
Li  0.7500  0.1378  0.6852  3 Cd 2.86-2.89, 2 Li 2.88-3.04, 4 Mg 2.93-3.00
Li  0.2500  0.2341  0.4963  3 Cd 2.89, 2 Li 2.90-3.04, 4 Mg 2.96-3.05
Li  0.7500  0.9591  0.1001  4 Li 2.89-3.16, 1 Cd 2.89, 4 Mg 2.95-2.99
Li  0.7500  0.5581  0.8933  1 Li 2.89, 7 Mg 2.92-3.02
Li  0.7500  0.7659  0.5037  3 Cd 2.89, 2 Li 2.90-3.04, 4 Mg 2.96-3.05
Li  0.2500  0.6570  0.7048  1 Cd 2.87, 3 Li 2.92-3.16, 5 Mg 2.93-3.02
Cd  0.2500  0.9496  0.6072  8 Li 2.86-2.89
Cd  0.7500  0.0504  0.3928  8 Li 2.86-2.89

## Properties
Size of the total moment (μB per atom): 0.000
Total DFT energy (no corrections) (eV/atom): -1.813
Formation energy from the elements (eV/atom): -0.095

[3]
The following is a GGA-PBE calculation of a relaxed structure of Li5Mg6Cd4, from Alexandria via LeMat-Bulk.

Lattice parameters (Å, degrees): 3.0282 13.6511 15.1055 90.00 90.00 96.37
Last column: nearest neighbours and their distance in Å.
Fractional positions:
Li  0.4868  0.9735  0.6297  5 Mg 2.78-3.00, 2 Li 3.03, 4 Cd 3.04
Li  0.7043  0.4086  0.1305  4 Mg 3.01-3.04, 3 Li 3.03-3.09, 4 Cd 3.08
Li  0.5132  0.0265  0.1297  5 Mg 2.78-3.00, 2 Li 3.03, 4 Cd 3.04
Li  0.3647  0.7294  0.9569  4 Mg 2.90-3.05, 4 Cd 3.00-3.11, 2 Li 3.03
Li  0.1818  0.3637  0.6306  4 Mg 2.84-2.93, 3 Li 3.03-3.09
Li  0.3647  0.7295  0.3038  4 Mg 2.90-3.05, 4 Cd 3.00-3.11, 2 Li 3.03
Li  0.6353  0.2706  0.4569  4 Mg 2.90-3.05, 4 Cd 3.00-3.11, 2 Li 3.03
Li  0.8182  0.6363  0.1306  4 Mg 2.84-2.93, 3 Li 3.03-3.09
Li  0.2957  0.5914  0.6305  4 Mg 3.01-3.04, 3 Li 3.03-3.09, 4 Cd 3.08
Li  0.6353  0.2705  0.8038  4 Mg 2.90-3.05, 4 Cd 3.00-3.11, 2 Li 3.03
Cd  0.8319  0.6639  0.4650  6 Mg 3.00-3.19, 4 Li 3.00-3.08, 2 Cd 3.03
Cd  0.1682  0.3364  0.2960  4 Li 3.00-3.08, 6 Mg 3.00-3.19, 2 Cd 3.03
Cd  0.0359  0.0718  0.7805  2 Cd 3.03, 4 Li 3.04-3.11, 6 Mg 3.09-3.15
Cd  0.0360  0.0721  0.4797  2 Cd 3.03, 4 Li 3.04-3.11, 6 Mg 3.09-3.15
Cd  0.1681  0.3361  0.9650  6 Mg 3.00-3.19, 4 Li 3.00-3.08, 2 Cd 3.03
Cd  0.8318  0.6636  0.7960  4 Li 3.00-3.08, 6 Mg 3.00-3.19, 2 Cd 3.03
Cd  0.9640  0.9279  0.9797  2 Cd 3.03, 4 Li 3.04-3.11, 6 Mg 3.09-3.15
Cd  0.9641  0.9282  0.2805  2 Cd 3.03, 4 Li 3.04-3.11, 6 Mg 3.09-3.15
Mg  0.5648  0.1295  0.9543  2 Li 2.97-3.00, 4 Mg 3.03-3.27, 6 Cd 3.13-3.19
Mg  0.5648  0.1296  0.3055  2 Li 2.98-3.00, 4 Mg 3.03-3.25, 6 Cd 3.13-3.19
Mg  0.2327  0.4655  0.7952  4 Li 2.84-3.05, 4 Mg 3.03-3.14, 3 Cd 3.09-3.11
Mg  0.4352  0.8704  0.8055  2 Li 2.98-3.00, 4 Mg 3.03-3.25, 6 Cd 3.13-3.19
Mg  0.1070  0.2139  0.1306  4 Li 2.96-3.04, 2 Cd 3.00, 6 Mg 3.03-3.27
Mg  0.4108  0.8215  0.1305  5 Li 2.78-2.93, 2 Mg 3.03, 4 Cd 3.09
Mg  0.7673  0.5345  0.2952  4 Li 2.84-3.05, 4 Mg 3.03-3.14, 3 Cd 3.09-3.11
Mg  0.7672  0.5344  0.9666  4 Li 2.84-3.05, 4 Mg 3.03-3.14, 3 Cd 3.09-3.12
Mg  0.2328  0.4656  0.4666  4 Li 2.84-3.05, 4 Mg 3.03-3.14, 3 Cd 3.09-3.12
Mg  0.5892  0.1785  0.6305  5 Li 2.78-2.93, 2 Mg 3.03, 4 Cd 3.09
Mg  0.4352  0.8705  0.4543  2 Li 2.97-3.00, 4 Mg 3.03-3.27, 6 Cd 3.13-3.19
Mg  0.8930  0.7861  0.6306  4 Li 2.96-3.04, 2 Cd 3.00, 6 Mg 3.03-3.27

## Properties
Size of the total moment (μB per atom): 0.000
Total DFT energy (no corrections) (eV/atom): -1.617
Formation energy from the elements (eV/atom): -0.098

[4]
The following is a GGA-PBE calculation of a relaxed structure of LiMg2Cd2, from Alexandria via LeMat-Bulk.

Lattice parameters (Å, degrees): 8.2377 8.2377 3.3148 90.00 90.00 90.00
Last column: nearest neighbours and their distance in Å.
Fractional positions:
Mg  0.3315  0.1685  0.5000  6 Cd 2.86-2.99
Mg  0.1685  0.6685  0.5000  6 Cd 2.86-2.99
Mg  0.6685  0.8315  0.5000  6 Cd 2.86-2.99
Mg  0.8315  0.3315  0.5000  6 Cd 2.86-2.99
Li  0.0000  0.0000  0.0000  4 Cd 3.22, 2 Li 3.31, 8 Mg 3.48
Li  0.5000  0.5000  0.0000  4 Cd 3.22, 2 Li 3.31, 8 Mg 3.48
Cd  0.1312  0.3688  0.0000  6 Mg 2.86-2.99, 1 Cd 3.06
Cd  0.6312  0.1312  0.0000  6 Mg 2.86-2.99, 1 Cd 3.06
Cd  0.3688  0.8688  0.0000  6 Mg 2.86-2.99, 1 Cd 3.06
Cd  0.8688  0.6312  0.0000  6 Mg 2.86-2.99, 1 Cd 3.06

## Properties
Size of the total moment (μB per atom): 0.000
Total DFT energy (no corrections) (eV/atom): -1.469
Formation energy from the elements (eV/atom): -0.082

[5]
The following is a GGA-PBE calculation of a relaxed structure of Li23MgCd6, from Alexandria via LeMat-Bulk.

Lattice parameters (Å, degrees): 9.3294 9.3294 9.3294 60.00 60.00 60.00
Last column: nearest neighbours and their distance in Å.
Fractional positions:
Li  0.5000  0.0000  0.0000  8 Li 2.81-2.85
Li  0.5000  0.5000  0.0000  8 Li 2.81-2.85
Li  0.3687  0.3687  0.3687  3 Li 2.81, 3 Cd 2.88, 1 Mg 3.00
Li  0.1263  0.6212  0.1263  4 Li 2.85-2.89, 3 Cd 2.90
Li  0.0000  0.5000  0.0000  8 Li 2.81-2.85
Li  0.3687  0.8940  0.3687  3 Li 2.81, 3 Cd 2.88, 1 Mg 3.00
Li  0.6313  0.6313  0.6313  3 Li 2.81, 3 Cd 2.88, 1 Mg 3.00
Li  0.3788  0.8737  0.8737  4 Li 2.85-2.89, 3 Cd 2.90
Li  0.1263  0.1263  0.1263  4 Li 2.85-2.89, 3 Cd 2.90
Li  0.3687  0.3687  0.8940  3 Li 2.81, 3 Cd 2.88, 1 Mg 3.00
Li  0.8737  0.3788  0.8737  4 Li 2.85-2.89, 3 Cd 2.90
Li  0.0000  0.0000  0.5000  8 Li 2.81-2.85
Li  0.0000  0.0000  0.0000  8 Li 2.89
Li  0.1263  0.1263  0.6212  4 Li 2.85-2.89, 3 Cd 2.90
Li  0.1060  0.6313  0.6313  3 Li 2.81, 3 Cd 2.88, 1 Mg 3.00
Li  0.8737  0.8737  0.3788  4 Li 2.85-2.89, 3 Cd 2.90
Li  0.6313  0.1060  0.6313  3 Li 2.81, 3 Cd 2.88, 1 Mg 3.00
Li  0.0000  0.5000  0.5000  8 Li 2.81-2.85
Li  0.8940  0.3687  0.3687  3 Li 2.81, 3 Cd 2.88, 1 Mg 3.00
Li  0.6212  0.1263  0.1263  4 Li 2.85-2.89, 3 Cd 2.90
Li  0.8737  0.8737  0.8737  4 Li 2.85-2.89, 3 Cd 2.90
Li  0.5000  0.0000  0.5000  8 Li 2.81-2.85
Li  0.6313  0.6313  0.1060  3 Li 2.81, 3 Cd 2.88, 1 Mg 3.00
Mg  0.5000  0.5000  0.5000  8 Li 3.00, 6 Cd 3.25
Cd  0.2539  0.7461  0.7461  8 Li 2.88-2.90
Cd  0.2539  0.7461  0.2539  8 Li 2.88-2.90
Cd  0.2539  0.2539  0.7461  8 Li 2.88-2.90
Cd  0.7461  0.2539  0.7461  8 Li 2.88-2.90
Cd  0.7461  0.7461  0.2539  8 Li 2.88-2.90
Cd  0.7461  0.2539  0.2539  8 Li 2.88-2.90

## Properties
Size of the total moment (μB per atom): 0.000
Total DFT energy (no corrections) (eV/atom): -1.813
Formation energy from the elements (eV/atom): -0.109

[6]
The following is a GGA-PBE calculation of a relaxed structure of Li4MgCd7, from Alexandria via LeMat-Bulk.

Lattice parameters (Å, degrees): 4.7893 4.7893 11.8782 90.00 90.00 120.00
Last column: nearest neighbours and their distance in Å.
Fractional positions:
Cd  0.3333  0.6667  0.1531  4 Li 2.87, 4 Cd 2.98-3.00
Cd  0.6667  0.3333  0.8469  4 Li 2.87, 4 Cd 2.98-3.00
Cd  0.0000  0.0000  0.0000  6 Li 2.96, 8 Cd 2.98-3.31
Cd  0.3333  0.6667  0.4042  4 Li 2.86-3.01, 1 Cd 2.98, 3 Mg 2.99
Cd  0.0000  0.0000  0.2511  1 Mg 2.96, 3 Li 2.97, 7 Cd 2.98-3.31
Cd  0.0000  0.0000  0.7489  1 Mg 2.96, 3 Li 2.97, 7 Cd 2.98-3.31
Cd  0.6667  0.3333  0.5958  4 Li 2.86-3.01, 1 Cd 2.98, 3 Mg 2.99
Li  0.3333  0.6667  0.9114  7 Cd 2.87-2.96, 1 Li 3.01
Li  0.6667  0.3333  0.0886  7 Cd 2.87-2.96, 1 Li 3.01
Li  0.6667  0.3333  0.3420  7 Cd 2.86-3.01, 1 Li 3.01
Li  0.3333  0.6667  0.6580  7 Cd 2.86-3.01, 1 Li 3.01
Mg  0.0000  0.0000  0.5000  8 Cd 2.96-2.99

## Properties
Size of the total moment (μB per atom): 0.000
Total DFT energy (no corrections) (eV/atom): -1.499
Formation energy from the elements (eV/atom): -0.194

[7]
The following is a GGA-PBE calculation of a relaxed structure of Li8MgCd5, from Alexandria via LeMat-Bulk.

Lattice parameters (Å, degrees): 7.1178 7.1178 7.1178 109.76 109.76 108.89
Last column: nearest neighbours and their distance in Å.
Fractional positions:
Li  0.1103  0.0157  0.7775  2 Li 2.80-2.97, 5 Cd 2.90-3.04, 1 Mg 2.91
Li  0.9843  0.7619  0.0946  2 Li 2.80-2.97, 5 Cd 2.90-3.04, 1 Mg 2.91
Li  0.7879  0.3694  0.2003  5 Cd 2.69-2.82, 1 Mg 2.88, 1 Li 2.97
Li  0.2381  0.3328  0.2225  2 Li 2.80-2.97, 5 Cd 2.90-3.04, 1 Mg 2.91
Li  0.4124  0.2121  0.5815  5 Cd 2.69-2.82, 1 Mg 2.88, 1 Li 2.97
Li  0.6306  0.8309  0.4185  5 Cd 2.69-2.82, 1 Mg 2.88, 1 Li 2.97
Li  0.1691  0.5876  0.7997  5 Cd 2.69-2.82, 1 Mg 2.88, 1 Li 2.97
Li  0.6672  0.8897  0.9054  2 Li 2.80-2.97, 5 Cd 2.90-3.04, 1 Mg 2.91
Cd  0.7389  0.5598  0.5871  8 Li 2.77-3.04
Cd  0.4402  0.0273  0.1791  8 Li 2.77-3.04
Cd  0.9727  0.1517  0.4128  8 Li 2.77-3.04
Cd  0.5000  0.5000  0.0000  4 Li 2.69
Cd  0.8483  0.2611  0.8209  8 Li 2.77-3.04
Mg  0.2500  0.7500  0.5000  8 Li 2.88-2.91

## Properties
Size of the total moment (μB per atom): 0.000
Total DFT energy (no corrections) (eV/atom): -1.636
Formation energy from the elements (eV/atom): -0.101

[8]
The following is a GGA-PBE calculation of a relaxed structure of LiMgCd6, from Alexandria via LeMat-Bulk.

Lattice parameters (Å, degrees): 4.3339 4.3339 9.1068 90.00 90.00 90.00
Last column: nearest neighbours and their distance in Å.
Fractional positions:
Cd  0.5000  0.0000  0.2565  8 Cd 3.06-3.19, 2 Li 3.10, 2 Mg 3.19
Cd  0.0000  0.5000  0.2565  8 Cd 3.06-3.19, 2 Li 3.10, 2 Mg 3.19
Cd  0.5000  0.5000  0.0000  4 Mg 3.06, 8 Cd 3.19
Cd  0.0000  0.5000  0.7435  8 Cd 3.06-3.19, 2 Li 3.10, 2 Mg 3.19
Cd  0.5000  0.5000  0.5000  4 Li 3.06, 8 Cd 3.10
Cd  0.5000  0.0000  0.7435  8 Cd 3.06-3.19, 2 Li 3.10, 2 Mg 3.19
Mg  0.0000  0.0000  0.0000  12 Cd 3.06-3.19
Li  0.0000  0.0000  0.5000  12 Cd 3.06-3.10

## Properties
Size of the total moment (μB per atom): 0.000
Total DFT energy (no corrections) (eV/atom): -1.226
Formation energy from the elements (eV/atom): -0.101

The lowest formation energy from the elements belongs to which entry?
Li4MgCd7